TmCo4Ag3O12, optimized geometry, DFT PBE+U; electronic total energy = -110.7 eV per cell
1.0
-3.638 3.638 3.638
3.638 -3.638 3.638
3.638 3.638 -3.638
Tm Co Ag O
1 4 3 12
Direct
0.000 0.000 0.000 Tm
0.000 0.000 0.500 Co
0.000 0.500 0.000 Co
0.500 0.000 0.000 Co
0.500 0.500 0.500 Co
0.000 0.500 0.500 Ag
0.500 0.000 0.500 Ag
0.500 0.500 0.000 Ag
0.107 0.287 0.820 O
0.180 0.467 0.287 O
0.180 0.893 0.713 O
0.287 0.180 0.467 O
0.287 0.820 0.107 O
0.467 0.287 0.180 O
0.533 0.713 0.820 O
0.713 0.180 0.893 O
0.713 0.820 0.533 O
0.820 0.107 0.287 O
0.820 0.533 0.713 O
0.893 0.713 0.180 O